Entry 1:
# PBE LiZn2Pd9, optimized geometry
# ΔE_f ... -276 meV/atom
# SG ... P4/mmm (123)
# Calculated total energy ... -4.542 eV per atom
# Total magnetic moment ... 0.0 μB/f.u.
data_LiZn2Pd9
_cell_length_a 3.912
_cell_length_b 3.912
_cell_length_c 11.702
_cell_angle_alpha 90.00
_cell_angle_beta 90.00
_cell_angle_gamma 90.00
_symmetry_space_group_name_H-M 'P 1'
_symmetry_Int_Tables_number 1
_symmetry_space_group_name_Hall 'P 1'
loop_
_atom_site_label
_atom_site_type_symbol
_atom_site_fract_x
_atom_site_fract_y
_atom_site_fract_z
_atom_site_occupancy
Pd1 Pd 0.000 0.500 0.500 1
Pd2 Pd 0.500 0.500 0.000 1
Pd3 Pd 0.500 0.000 0.500 1
Pd4 Pd 0.500 0.000 0.166 1
Pd5 Pd 0.000 0.500 0.834 1
Pd6 Pd 0.000 0.500 0.166 1
Pd7 Pd 0.500 0.500 0.669 1
Pd8 Pd 0.500 0.000 0.834 1
Pd9 Pd 0.500 0.500 0.331 1
Zn1 Zn 0.000 0.000 0.333 1
Zn2 Zn 0.000 0.000 0.667 1
Li1 Li 0.000 0.000 0.000 1

Entry 2:
# PBE PuZrSn, optimized geometry
# Energy relative to the lowest polymorph listed for this composition ... 294.4 meV/atom
# ΔE_f ... -56 meV/atom
# SG ... Immm (71)
# Calculated total energy ... -9.017 eV per atom
# Total magnetic moment ... 6.0 μB/f.u.
data_PuZrSn
_cell_length_a 5.100
_cell_length_b 5.956
_cell_length_c 5.956
_cell_angle_alpha 93.15
_cell_angle_beta 64.65
_cell_angle_gamma 64.65
_symmetry_space_group_name_H-M 'P 1'
_symmetry_Int_Tables_number 1
_symmetry_space_group_name_Hall 'P 1'
loop_
_atom_site_label
_atom_site_type_symbol
_atom_site_fract_x
_atom_site_fract_y
_atom_site_fract_z
_atom_site_occupancy
Zr1 Zr 0.000 0.825 0.175 1
Zr2 Zr 0.000 0.175 0.825 1
Sn1 Sn 0.260 0.240 0.240 1
Sn2 Sn 0.740 0.760 0.760 1
Pu1 Pu 0.500 0.658 0.342 1
Pu2 Pu 0.500 0.342 0.658 1

Entry 3:
# PBE BaNdP2Pt4, optimized geometry
# ΔE_f ... -849 meV/atom
# SG ... P4/mmm (123)
# Calculated total energy ... -6.058 eV per atom
# Total magnetic moment ... 0.0 μB/f.u.
data_BaNdP2Pt4
_cell_length_a 4.110
_cell_length_b 4.110
_cell_length_c 10.548
_cell_angle_alpha 90.00
_cell_angle_beta 90.00
_cell_angle_gamma 90.00
_symmetry_space_group_name_H-M 'P 1'
_symmetry_Int_Tables_number 1
_symmetry_space_group_name_Hall 'P 1'
loop_
_atom_site_label
_atom_site_type_symbol
_atom_site_fract_x
_atom_site_fract_y
_atom_site_fract_z
_atom_site_occupancy
Nd1 Nd 0.000 0.000 0.000 1
P1 P 0.500 0.500 0.678 1
P2 P 0.500 0.500 0.322 1
Pt1 Pt 0.000 0.500 0.788 1
Pt2 Pt 0.000 0.500 0.212 1
Pt3 Pt 0.500 0.000 0.788 1
Pt4 Pt 0.500 0.000 0.212 1
Ba1 Ba 0.000 0.000 0.500 1

Entry 4:
# PBE AuSe2I2, optimized geometry
# Energy relative to the lowest polymorph listed for this composition ... 202.8 meV/atom
# Uncorrected formation energy ... 103 kJ/mol of formula units
# SG ... P4/mbm (127)
# Calculated total energy ... -2.457 eV per atom
# Total magnetic moment ... 0.0 μB/f.u.
data_AuSe2I2
_cell_length_a 7.710
_cell_length_b 7.710
_cell_length_c 5.278
_cell_angle_alpha 90.00
_cell_angle_beta 90.00
_cell_angle_gamma 90.00
_symmetry_space_group_name_H-M 'P 1'
_symmetry_Int_Tables_number 1
_symmetry_space_group_name_Hall 'P 1'
loop_
_atom_site_label
_atom_site_type_symbol
_atom_site_fract_x
_atom_site_fract_y
_atom_site_fract_z
_atom_site_occupancy
Au1 Au 0.000 0.000 0.000 1
Au2 Au 0.500 0.500 0.000 1
Se1 Se 0.752 0.748 0.000 1
Se2 Se 0.248 0.252 0.000 1
Se3 Se 0.252 0.752 0.000 1
Se4 Se 0.748 0.248 0.000 1
I1 I 0.327 0.173 0.500 1
I2 I 0.827 0.327 0.500 1
I3 I 0.173 0.673 0.500 1
I4 I 0.673 0.827 0.500 1

Entry 5:
# PBE Ag2PCl, optimized geometry
# Energy relative to the lowest polymorph listed for this composition ... 0.0 meV/atom
# Uncorrected formation energy ... 9 kJ/mol of formula units
# SG ... C2/m (12)
# Calculated total energy ... -3.217 eV per atom
# Total magnetic moment ... 0.0 μB/f.u.
data_Ag2PCl
_cell_length_a 3.558
_cell_length_b 3.558
_cell_length_c 7.404
_cell_angle_alpha 76.16
_cell_angle_beta 76.16
_cell_angle_gamma 59.96
_symmetry_space_group_name_H-M 'P 1'
_symmetry_Int_Tables_number 1
_symmetry_space_group_name_Hall 'P 1'
loop_
_atom_site_label
_atom_site_type_symbol
_atom_site_fract_x
_atom_site_fract_y
_atom_site_fract_z
_atom_site_occupancy
P1 P 0.250 0.250 0.250 1
Cl1 Cl 0.750 0.750 0.750 1
Ag1 Ag 0.992 0.992 0.025 1
Ag2 Ag 0.508 0.508 0.475 1

Entry 6:
# PBE La2CrMo, optimized geometry
# Energy relative to the lowest polymorph listed for this composition ... 231.5 meV/atom
# ΔE_f ... 587 meV/atom
# SG ... Fm-3m (225)
# Calculated total energy ... -6.990 eV per atom
# Total magnetic moment ... 4.4 μB/f.u.
data_La2CrMo
_cell_length_a 5.175
_cell_length_b 5.175
_cell_length_c 5.175
_cell_angle_alpha 60.00
_cell_angle_beta 60.00
_cell_angle_gamma 60.00
_symmetry_space_group_name_H-M 'P 1'
_symmetry_Int_Tables_number 1
_symmetry_space_group_name_Hall 'P 1'
loop_
_atom_site_label
_atom_site_type_symbol
_atom_site_fract_x
_atom_site_fract_y
_atom_site_fract_z
_atom_site_occupancy
Cr1 Cr 0.000 0.000 0.000 1
La1 La 0.250 0.250 0.250 1
La2 La 0.750 0.750 0.750 1
Mo1 Mo 0.500 0.500 0.500 1

Entry 7:
# PBE K2NaH6Au2, optimized geometry
# SG ... C2/m (12)
# Calculated total energy ... -2.833 eV per atom
# Total magnetic moment ... 0.0 μB/f.u.
data_K2NaH6Au2
_cell_length_a 5.082
_cell_length_b 6.715
_cell_length_c 6.921
_cell_angle_alpha 117.78
_cell_angle_beta 90.00
_cell_angle_gamma 112.23
_symmetry_space_group_name_H-M 'P 1'
_symmetry_Int_Tables_number 1
_symmetry_space_group_name_Hall 'P 1'
loop_
_atom_site_label
_atom_site_type_symbol
_atom_site_fract_x
_atom_site_fract_y
_atom_site_fract_z
_atom_site_occupancy
K1 K 0.302 0.604 0.799 1
K2 K 0.698 0.396 0.201 1
Na1 Na 0.500 0.000 0.500 1
H1 H 0.125 0.786 0.189 1
H2 H 0.875 0.214 0.811 1
H3 H 0.841 0.683 0.668 1
H4 H 0.661 0.786 0.189 1
H5 H 0.159 0.317 0.332 1
H6 H 0.339 0.214 0.811 1
Au1 Au 0.995 0.989 0.755 1
Au2 Au 0.005 0.011 0.245 1

Entry 8:
# PBE Sc3Si5, optimized geometry
# Energy relative to the lowest polymorph listed for this composition ... 0.0 meV/atom
# Uncorrected formation energy ... -475 kJ/mol of formula units
# SG ... Fdd2 (43)
# Calculated total energy ... -6.379 eV per atom
# Total magnetic moment ... 0.0 μB/f.u.
data_Sc3Si5
_cell_length_a 5.333
_cell_length_b 6.901
_cell_length_c 8.443
_cell_angle_alpha 82.99
_cell_angle_beta 71.59
_cell_angle_gamma 67.27
_symmetry_space_group_name_H-M 'P 1'
_symmetry_Int_Tables_number 1
_symmetry_space_group_name_Hall 'P 1'
loop_
_atom_site_label
_atom_site_type_symbol
_atom_site_fract_x
_atom_site_fract_y
_atom_site_fract_z
_atom_site_occupancy
Sc1 Sc 0.653 0.384 0.339 1
Sc2 Sc 0.302 0.396 0.000 1
Sc3 Sc 0.874 0.884 0.839 1
Sc4 Sc 0.242 0.884 0.161 1
Sc5 Sc 0.963 0.384 0.661 1
Sc6 Sc 0.552 0.896 0.500 1
Si1 Si 0.225 0.221 0.329 1
Si2 Si 0.079 0.591 0.368 1
Si3 Si 0.753 0.493 0.000 1
Si4 Si 0.804 0.721 0.171 1
Si5 Si 0.696 0.091 0.132 1
Si6 Si 0.212 0.091 0.868 1
Si7 Si 0.003 0.993 0.500 1
Si8 Si 0.553 0.221 0.671 1
Si9 Si 0.330 0.591 0.632 1
Si10 Si 0.474 0.721 0.829 1

Entry 9:
# PBE Tb2CuPt9, optimized geometry
# ΔE_f ... -686 meV/atom
# SG ... P4/mmm (123)
# Calculated total energy ... -6.330 eV per atom
# Total magnetic moment ... 0.0 μB/f.u.
data_Tb2CuPt9
_cell_length_a 4.091
_cell_length_b 4.091
_cell_length_c 12.022
_cell_angle_alpha 90.00
_cell_angle_beta 90.00
_cell_angle_gamma 90.00
_symmetry_space_group_name_H-M 'P 1'
_symmetry_Int_Tables_number 1
_symmetry_space_group_name_Hall 'P 1'
loop_
_atom_site_label
_atom_site_type_symbol
_atom_site_fract_x
_atom_site_fract_y
_atom_site_fract_z
_atom_site_occupancy
Pt1 Pt 0.500 0.500 0.674 1
Pt2 Pt 0.000 0.500 0.500 1
Pt3 Pt 0.500 0.000 0.849 1
Pt4 Pt 0.000 0.500 0.849 1
Pt5 Pt 0.500 0.500 0.000 1
Pt6 Pt 0.500 0.000 0.500 1
Pt7 Pt 0.500 0.500 0.326 1
Pt8 Pt 0.000 0.500 0.151 1
Pt9 Pt 0.500 0.000 0.151 1
Cu1 Cu 0.000 0.000 0.000 1
Tb1 Tb 0.000 0.000 0.674 1
Tb2 Tb 0.000 0.000 0.326 1

Entry 10:
# PBE DyErTiAl, optimized geometry
# ΔE_f ... -56 meV/atom
# SG ... F-43m (216)
# Calculated total energy ... -5.257 eV per atom
# Total magnetic moment ... 2.5 μB/f.u.
data_DyErTiAl
_cell_length_a 5.119
_cell_length_b 5.119
_cell_length_c 5.119
_cell_angle_alpha 60.00
_cell_angle_beta 60.00
_cell_angle_gamma 60.00
_symmetry_space_group_name_H-M 'P 1'
_symmetry_Int_Tables_number 1
_symmetry_space_group_name_Hall 'P 1'
loop_
_atom_site_label
_atom_site_type_symbol
_atom_site_fract_x
_atom_site_fract_y
_atom_site_fract_z
_atom_site_occupancy
Dy1 Dy 0.000 0.000 0.000 1
Er1 Er 0.500 0.500 0.500 1
Ti1 Ti 0.750 0.750 0.750 1
Al1 Al 0.250 0.250 0.250 1

Entry 11:
# PBE ZrIn2HgMo, optimized geometry
# ΔE_f ... 1382 meV/atom
# SG ... P4/mmm (123)
# Calculated total energy ... -3.649 eV per atom
# Total magnetic moment ... 2.9 μB/f.u.
data_ZrIn2HgMo
_cell_length_a 5.172
_cell_length_b 5.460
_cell_length_c 5.172
_cell_angle_alpha 90.00
_cell_angle_beta 90.00
_cell_angle_gamma 90.00
_symmetry_space_group_name_H-M 'P 1'
_symmetry_Int_Tables_number 1
_symmetry_space_group_name_Hall 'P 1'
loop_
_atom_site_label
_atom_site_type_symbol
_atom_site_fract_x
_atom_site_fract_y
_atom_site_fract_z
_atom_site_occupancy
Hg1 Hg 0.000 0.000 0.000 1
Zr1 Zr 0.000 0.500 0.000 1
In1 In 0.500 0.000 0.000 1
In2 In 0.000 0.000 0.500 1
Mo1 Mo 0.500 0.500 0.500 1

Entry 12:
# PBE Pr2Nd2Pt3, optimized geometry
# Energy relative to the lowest polymorph listed for this composition ... 43.6 meV/atom
# ΔE_f ... -914 meV/atom
# SG ... C2/m (12)
# Calculated total energy ... -6.230 eV per atom
# Total magnetic moment ... 0.0 μB/f.u.
data_Pr2Nd2Pt3
_cell_length_a 4.284
_cell_length_b 7.237
_cell_length_c 7.365
_cell_angle_alpha 100.59
_cell_angle_beta 89.99
_cell_angle_gamma 107.25
_symmetry_space_group_name_H-M 'P 1'
_symmetry_Int_Tables_number 1
_symmetry_space_group_name_Hall 'P 1'
loop_
_atom_site_label
_atom_site_type_symbol
_atom_site_fract_x
_atom_site_fract_y
_atom_site_fract_z
_atom_site_occupancy
Pt1 Pt 0.243 0.486 0.743 1
Pt2 Pt 0.757 0.514 0.257 1
Pt3 Pt 0.000 0.000 0.000 1
Pr1 Pr 0.373 0.747 0.109 1
Pr2 Pr 0.627 0.253 0.891 1
Nd1 Nd 0.137 0.275 0.360 1
Nd2 Nd 0.863 0.725 0.640 1

Looking at N(E_F) for the records above, in order, we have 17.91; 6.51; 4.86; 1.98; 2.42; 4.34; 2.78; 3.62; 13.44; 5.20; 4.40; 5.15 states/eV/f.u..